Record 1
K2TbPuSe4: relaxed, PBE.

**Raw formation energy**: -1.605 eV per atom
**Density of states at the Fermi level**: 12.02 states/eV/f.u.
**Total magnetization**: 0.62 μB per atom
**SG**: P2/m (10)
**VASP energy**: -47.9 eV for the cell shown

Cell: 7.3953 4.2620 8.0420 Å, 90.00 107.85 90.00°
Positions (direct):
K 0.0000 0.0000 0.0000
K 0.5000 0.5000 0.0000
Tb 0.0000 0.5000 0.5000
Pu 0.5000 0.0000 0.5000
Se 0.2322 0.0000 0.7064
Se 0.2633 0.5000 0.2953
Se 0.7367 0.5000 0.7047
Se 0.7678 0.0000 0.2936


Record 2
KPuTeSe: relaxed, PBE.

**Raw formation energy**: -1.291 eV per atom
**Density of states at the Fermi level**: 11.60 states/eV/f.u.
**Total magnetization**: 1.25 μB per atom
**SG**: R3m (160)
**VASP energy**: -81.7 eV for the cell shown

Cell: 4.4075 4.4075 23.8096 Å, 90.00 90.00 120.00°
Positions (direct):
K 0.0000 0.0000 0.0000
K 0.3333 0.6667 0.6667
K 0.6667 0.3333 0.3333
Pu 0.0000 0.0000 0.4891
Pu 0.3333 0.6667 0.1557
Pu 0.6667 0.3333 0.8224
Te 0.0000 0.0000 0.2318
Te 0.3333 0.6667 0.8984
Te 0.6667 0.3333 0.5651
Se 0.0000 0.0000 0.7608
Se 0.3333 0.6667 0.4274
Se 0.6667 0.3333 0.0941